# 1
# KZn2Si PBE relaxed
# Raw total energy (eV per cell): -13.95
# D(E_F) (states/eV/atom): 0.50
# Magnetic moment (μB/atom): 0.00
data_KZn2Si
_space_group_name_H-M_alt 'C m m m'
_space_group_IT_number 65
_space_group_name_Hall '-C 2 2'
_cell_length_a 6.3151
_cell_length_b 10.6937
_cell_length_c 2.6180
_cell_angle_alpha 90.00
_cell_angle_beta 90.00
_cell_angle_gamma 90.00
loop_
_atom_site_label
_atom_site_type_symbol
_atom_site_fract_x
_atom_site_fract_y
_atom_site_fract_z
K1 K 0.0000 0.0000 0.0000
Zn1 Zn 0.2500 0.2500 0.5000
Si1 Si 0.0000 0.5000 0.0000

***

# 2
# Y3Ho2Cd4 PBE relaxed
# D(E_F) (states/eV/atom): 0.87
# Magnetic moment (μB/atom): 0.00
# Formation energy from the elements (eV/atom): -0.1454
data_Y3Ho2Cd4
_space_group_name_H-M_alt 'C m c e'
_space_group_IT_number 64
_space_group_name_Hall '-C 2ac 2'
_cell_length_a 6.7258
_cell_length_b 18.8105
_cell_length_c 8.0046
_cell_angle_alpha 90.00
_cell_angle_beta 90.00
_cell_angle_gamma 90.00
loop_
_atom_site_label
_atom_site_type_symbol
_atom_site_fract_x
_atom_site_fract_y
_atom_site_fract_z
Y1 Y 0.0000 0.0000 0.0000
Y2 Y 0.2500 0.2454 0.2500
Ho1 Ho 0.0000 0.0914 0.5995
Cd1 Cd 0.0000 0.1591 0.9802
Cd2 Cd 0.2500 0.0765 0.2500

***

# 3
# Tm2InCo PBE relaxed
# D(E_F) (states/eV/atom): 0.73
# Magnetic moment (μB/atom): 0.09
# Formation energy from the elements (eV/atom): -0.3512
data_Tm2InCo
_space_group_name_H-M_alt 'P 4/m m m'
_space_group_IT_number 123
_space_group_name_Hall '-P 4 2'
_cell_length_a 3.3157
_cell_length_b 3.3157
_cell_length_c 7.9290
_cell_angle_alpha 90.00
_cell_angle_beta 90.00
_cell_angle_gamma 90.00
loop_
_atom_site_label
_atom_site_type_symbol
_atom_site_fract_x
_atom_site_fract_y
_atom_site_fract_z
Tm1 Tm 0.0000 0.0000 0.2044
In1 In 0.5000 0.5000 0.5000
Co1 Co 0.5000 0.5000 0.0000

***

# 4
# Ac3Al2RuO9 PBE relaxed
# Raw total energy (eV per cell): -116.44
# D(E_F) (states/eV/atom): 0.31
# Magnetic moment (μB/atom): 0.07
data_Ac3Al2RuO9
_space_group_name_H-M_alt 'P -3 m 1'
_space_group_IT_number 164
_space_group_name_Hall '-P 3 2"'
_cell_length_a 5.5514
_cell_length_b 5.5514
_cell_length_c 6.8459
_cell_angle_alpha 90.00
_cell_angle_beta 90.00
_cell_angle_gamma 120.00
loop_
_atom_site_label
_atom_site_type_symbol
_atom_site_fract_x
_atom_site_fract_y
_atom_site_fract_z
Ac1 Ac 0.0000 0.0000 0.0000
Ac2 Ac 0.3333 0.6667 0.6638
Al1 Al 0.3333 0.6667 0.1575
Ru1 Ru 0.0000 0.0000 0.5000
O1 O 0.0000 0.5000 0.0000
O2 O 0.1728 0.3456 0.3231